[1]
Density functional theory data (PBEsol) for a geometry-optimized Be2CoH20N2O6F8 structure.

Summary:
Total energy, eV/cell: -403.8
Calculated volume, Å³ per cell: 666
Magnetic moment, μB per formula unit: 3.0
Symmetry: P2_1/c (14)

a b c (Å): 6.0412 9.2271 12.4887
angles (deg): 90.00 90.00 106.91
With the nearest neighbours (Å) after each atom.
Element x y z (fractional)
F: 0.4096 0.1178 0.2548  1 Be 1.55, 1 H 1.57
F: 0.0036 0.6162 0.1815  1 Be 1.57, 3 H 1.72-1.75
F: 0.9964 0.8838 0.6815  1 Be 1.57, 3 H 1.72-1.75
F: 0.3674 0.2312 0.4330  1 Be 1.57, 3 H 1.65-1.72
F: 0.7768 0.0531 0.5918  1 Be 1.55, 2 H 1.62-1.72
F: 0.4096 0.6178 0.2452  1 Be 1.55, 1 H 1.57
F: 0.9964 0.3838 0.8185  1 Be 1.57, 3 H 1.72-1.75
F: 0.0036 0.1162 0.3185  1 Be 1.57, 3 H 1.72-1.75
F: 0.6326 0.7688 0.5670  1 Be 1.57, 3 H 1.65-1.72
F: 0.2232 0.9469 0.4082  1 Be 1.55, 2 H 1.62-1.72
F: 0.5904 0.8822 0.7452  1 Be 1.55, 1 H 1.57
F: 0.3674 0.7312 0.0670  1 Be 1.57, 3 H 1.65-1.72
F: 0.7768 0.5531 0.9082  1 Be 1.55, 2 H 1.62-1.72
F: 0.6326 0.2688 0.9330  1 Be 1.57, 3 H 1.65-1.72
F: 0.2232 0.4469 0.0918  1 Be 1.55, 2 H 1.62-1.72
F: 0.5904 0.3822 0.7548  1 Be 1.55, 1 H 1.57
H: 0.6515 0.3252 0.0644  1 N 1.04
H: 0.0613 0.7727 0.4023  1 O 1.00
H: 0.5761 0.7841 0.3056  1 N 1.04
H: 0.9387 0.7273 0.9023  1 O 1.00
H: 0.3485 0.1748 0.5644  1 N 1.04
H: 0.9739 0.6407 0.3166  1 O 0.99
H: 0.3435 0.2107 0.9075  1 O 0.99
H: 0.3435 0.7107 0.5925  1 O 0.99
H: 0.6636 0.0975 0.9357  1 O 0.99
H: 0.3485 0.6748 0.9356  1 N 1.04
H: 0.3364 0.4025 0.4357  1 O 0.99
H: 0.3364 0.9025 0.0643  1 O 0.99
H: 0.4780 0.4120 0.1264  1 N 1.05
H: 0.0613 0.2727 0.0977  1 O 1.00
H: 0.2348 0.0426 0.6607  1 N 1.04
H: 0.7652 0.9574 0.3393  1 N 1.04
H: 0.0261 0.3593 0.6834  1 O 0.99
H: 0.3388 0.5423 0.3573  1 O 1.00
H: 0.5761 0.2841 0.1944  1 N 1.04
H: 0.6612 0.9577 0.8573  1 O 1.00
H: 0.2348 0.5426 0.8393  1 N 1.04
H: 0.6515 0.8252 0.4356  1 N 1.04
H: 0.7652 0.4574 0.1607  1 N 1.04
H: 0.6612 0.4577 0.6427  1 O 1.00
H: 0.6565 0.7893 0.0925  1 O 0.99
H: 0.4239 0.2159 0.6944  1 N 1.04
H: 0.0261 0.8593 0.8166  1 O 0.99
H: 0.8883 0.7531 0.1318  1 O 0.99
H: 0.1117 0.7469 0.6318  1 O 0.99
H: 0.3388 0.0423 0.1427  1 O 1.00
H: 0.5220 0.0880 0.6264  1 N 1.05
H: 0.6636 0.5975 0.5643  1 O 0.99
H: 0.8883 0.2531 0.3682  1 O 0.99
H: 0.4239 0.7159 0.8056  1 N 1.04
H: 0.9387 0.2273 0.5977  1 O 1.00
H: 0.1117 0.2469 0.8682  1 O 0.99
H: 0.4780 0.9120 0.3736  1 N 1.05
H: 0.5220 0.5880 0.8736  1 N 1.05
H: 0.9739 0.1407 0.1834  1 O 0.99
H: 0.6565 0.2893 0.4075  1 O 0.99
Be: 0.2456 0.6011 0.1471  4 F 1.55-1.57
Be: 0.7544 0.3989 0.8529  4 F 1.55-1.57
Be: 0.2456 0.1011 0.3529  4 F 1.55-1.57
Be: 0.7544 0.8989 0.6471  4 F 1.55-1.57
N: 0.6202 0.8705 0.3625  4 H 1.04-1.05
N: 0.6202 0.3705 0.1375  4 H 1.04-1.05
N: 0.3798 0.6295 0.8625  4 H 1.04-1.05
N: 0.3798 0.1295 0.6375  4 H 1.04-1.05
Co: 0.0000 0.5000 0.5000  6 O 2.01-2.12
Co: 0.0000 0.0000 0.0000  6 O 2.01-2.12
O: 0.9615 0.6663 0.3931  2 H 0.99-1.00
O: 0.3004 0.5007 0.4312  2 H 0.99-1.00
O: 0.6996 0.9993 0.9312  2 H 0.99-1.00
O: 0.1788 0.1643 0.8876  2 H 0.99
O: 0.3004 0.0007 0.0688  2 H 0.99-1.00
O: 0.0385 0.8337 0.8931  2 H 0.99-1.00
O: 0.8212 0.8357 0.1124  2 H 0.99
O: 0.1788 0.6643 0.6124  2 H 0.99
O: 0.0385 0.3337 0.6069  2 H 0.99-1.00
O: 0.9615 0.1663 0.1069  2 H 0.99-1.00
O: 0.6996 0.4993 0.5688  2 H 0.99-1.00
O: 0.8212 0.3357 0.3876  2 H 0.99

=====

[2]
Density functional theory data (PBEsol) for a geometry-optimized BeCoNF2 structure.

Summary:
Total energy, eV/cell: -28.9
Calculated volume, Å³ per cell: 49
Magnetic moment, μB per formula unit: 3.0
Symmetry: P4/mmm (123)

a b c (Å): 3.0398 3.0398 5.2501
angles (deg): 90.00 90.00 90.00
With the nearest neighbours (Å) after each atom.
Element x y z (fractional)
F: 0.0000 0.5000 0.0000  2 Be 1.52
F: 0.5000 0.0000 0.0000  2 Be 1.52
Co: 0.5000 0.5000 0.5000  4 N 2.15
N: 0.0000 0.0000 0.5000  4 Co 2.15
Be: 0.0000 0.0000 0.0000  4 F 1.52

=====

[3]
Density functional theory data (PBEsol) for a geometry-optimized Be2Fe2Co structure.

Summary:
Total energy, eV/cell: -68.4
Calculated volume, Å³ per cell: 91
Magnetic moment, μB per formula unit: 4.6
Energy relative to the elements, kJ/mol of formula units: -51
Symmetry: P4/mbm (127)

a b c (Å): 2.7626 5.7413 5.7413
angles (deg): 90.00 90.00 90.00
With the nearest neighbours (Å) after each atom.
Element x y z (fractional)
Be: 0.0000 0.8732 0.6268  1 Be 2.06, 6 Fe 2.15-2.21, 2 Co 2.26
Be: 0.0000 0.3732 0.8732  1 Be 2.06, 6 Fe 2.15-2.21, 2 Co 2.26
Be: 0.0000 0.6268 0.1268  1 Be 2.06, 6 Fe 2.15-2.21, 2 Co 2.26
Be: 0.0000 0.1268 0.3732  1 Be 2.06, 6 Fe 2.15-2.21, 2 Co 2.26
Fe: 0.5000 0.8297 0.3297  6 Be 2.15-2.21
Fe: 0.5000 0.6703 0.8297  6 Be 2.15-2.21
Fe: 0.5000 0.1703 0.6703  6 Be 2.15-2.21
Fe: 0.5000 0.3297 0.1703  6 Be 2.15-2.21
Co: 0.0000 0.5000 0.5000  4 Be 2.26
Co: 0.0000 0.0000 0.0000  4 Be 2.26

=====

[4]
Density functional theory data (PBEsol) for a geometry-optimized Be3FeCo structure.

Summary:
Total energy, eV/cell: -24.0
Calculated volume, Å³ per cell: 55
Magnetic moment, μB per formula unit: 2.0
Energy relative to the elements, kJ/mol of formula units: 449
Symmetry: Pm-3m (221)

a b c (Å): 3.7957 3.7957 3.7957
angles (deg): 90.00 90.00 90.00
With the nearest neighbours (Å) after each atom.
Element x y z (fractional)
Co: 0.5000 0.5000 0.5000  12 Be 2.68
Fe: 0.0000 0.0000 0.0000  6 Be 1.90
Be: 0.0000 0.5000 0.0000  2 Fe 1.90
Be: 0.0000 0.0000 0.5000  2 Fe 1.90
Be: 0.5000 0.0000 0.0000  2 Fe 1.90

=====

[5]
Density functional theory data (PBEsol) for a geometry-optimized BeGaCo2 structure.

Summary:
Total energy, eV/cell: -43.2
Calculated volume, Å³ per cell: 94
Magnetic moment, μB per formula unit: 2.1
Energy relative to the elements, kJ/mol of formula units: 118
Symmetry: I-42d (122)
Distance to the lowest polymorph of the same formula, eV per atom: 0.638

a b c (Å): 3.4295 3.4295 8.3248
angles (deg): 101.89 101.89 90.00
With the nearest neighbours (Å) after each atom.
Element x y z (fractional)
Be: 0.5000 0.5000 0.0000  4 Co 2.28, 4 Ga 2.43
Be: 0.7500 0.2500 0.5000  4 Co 2.28, 4 Ga 2.43
Co: 0.1250 0.1691 0.7500  2 Co 2.22, 2 Be 2.28, 2 Ga 2.39
Co: 0.4191 0.8750 0.2500  2 Co 2.22, 2 Be 2.28, 2 Ga 2.39
Co: 0.6250 0.5809 0.7500  2 Co 2.22, 2 Be 2.28, 2 Ga 2.39
Co: 0.8309 0.3750 0.2500  2 Co 2.22, 2 Be 2.28, 2 Ga 2.39
Ga: 0.0000 0.0000 0.0000  4 Co 2.39, 4 Be 2.43
Ga: 0.2500 0.7500 0.5000  4 Co 2.39, 4 Be 2.43

=====

[6]
Density functional theory data (PBEsol) for a geometry-optimized BeGaCo2 structure.

Summary:
Total energy, eV/cell: -24.1
Calculated volume, Å³ per cell: 40
Magnetic moment, μB per formula unit: 0.0
Energy relative to the elements, kJ/mol of formula units: -128
Symmetry: Fm-3m (225)
Distance to the lowest polymorph of the same formula, eV per atom: 0.000

a b c (Å): 3.8446 3.8446 3.8446
angles (deg): 60.00 60.00 60.00
With the nearest neighbours (Å) after each atom.
Element x y z (fractional)
Co: 0.2500 0.2500 0.2500  4 Ga 2.35, 4 Be 2.35
Co: 0.7500 0.7500 0.7500  4 Ga 2.35, 4 Be 2.35
Ga: 0.5000 0.5000 0.5000  8 Co 2.35
Be: 0.0000 0.0000 0.0000  8 Co 2.35

=====

[7]
Density functional theory data (PBEsol) for a geometry-optimized BeGaCo2I structure.

Summary:
Total energy, eV/cell: -16.0
Calculated volume, Å³ per cell: 116
Magnetic moment, μB per formula unit: 2.4
Symmetry: P4/mmm (123)

a b c (Å): 4.5367 4.5367 5.6377
angles (deg): 90.00 90.00 90.00
With the nearest neighbours (Å) after each atom.
Element x y z (fractional)
I: 0.0000 0.0000 0.0000  4 Co 2.27
Co: 0.5000 0.0000 0.0000  2 I 2.27
Co: 0.0000 0.5000 0.0000  2 I 2.27
Be: 0.5000 0.5000 0.5000  4 Ga 3.21
Ga: 0.0000 0.0000 0.5000  2 I 2.82

=====

[8]
Density functional theory data (PBEsol) for a geometry-optimized BeCo2Ge structure.

Summary:
Total energy, eV/cell: -25.5
Calculated volume, Å³ per cell: 40
Magnetic moment, μB per formula unit: 0.0
Energy relative to the elements, kJ/mol of formula units: -106
Symmetry: P4/mmm (123)
Distance to the lowest polymorph of the same formula, eV per atom: 0.101

a b c (Å): 2.7589 2.7589 5.2687
angles (deg): 90.00 90.00 90.00
With the nearest neighbours (Å) after each atom.
Element x y z (fractional)
Ge: 0.0000 0.0000 0.5000  8 Co 2.39, 2 Be 2.63
Co: 0.5000 0.5000 0.2387  4 Be 2.32, 4 Ge 2.39, 1 Co 2.52
Co: 0.5000 0.5000 0.7613  4 Be 2.32, 4 Ge 2.39, 1 Co 2.52
Be: 0.0000 0.0000 0.0000  8 Co 2.32

=====

[9]
Density functional theory data (PBEsol) for a geometry-optimized BeCo2Ge structure.

Summary:
Total energy, eV/cell: -25.9
Calculated volume, Å³ per cell: 40
Magnetic moment, μB per formula unit: 0.0
Energy relative to the elements, kJ/mol of formula units: -145
Symmetry: Fm-3m (225)
Distance to the lowest polymorph of the same formula, eV per atom: 0.000

a b c (Å): 3.8375 3.8375 3.8375
angles (deg): 60.00 60.00 60.00
With the nearest neighbours (Å) after each atom.
Element x y z (fractional)
Be: 0.0000 0.0000 0.0000  8 Co 2.35
Ge: 0.5000 0.5000 0.5000  8 Co 2.35
Co: 0.7500 0.7500 0.7500  4 Ge 2.35, 4 Be 2.35
Co: 0.2500 0.2500 0.2500  4 Ge 2.35, 4 Be 2.35

=====

[10]
Density functional theory data (PBEsol) for a geometry-optimized BeCo2NiGe structure.

Summary:
Total energy, eV/cell: -24.9
Calculated volume, Å³ per cell: 76
Magnetic moment, μB per formula unit: 4.2
Energy relative to the elements, kJ/mol of formula units: 544
Symmetry: P4/mmm (123)

a b c (Å): 4.2028 4.2574 4.2574
angles (deg): 90.00 90.00 90.00
With the nearest neighbours (Å) after each atom.
Element x y z (fractional)
Co: 0.0000 0.5000 0.0000  2 Ni 2.13
Co: 0.0000 0.0000 0.5000  2 Ni 2.13
Be: 0.5000 0.5000 0.5000  8 Co 2.99, 4 Ge 3.01
Ni: 0.0000 0.0000 0.0000  2 Ge 2.10, 4 Co 2.13
Ge: 0.5000 0.0000 0.0000  2 Ni 2.10

=====

[11]
Density functional theory data (PBEsol) for a geometry-optimized SrBeCoGe2 structure.

Summary:
Total energy, eV/cell: -13.1
Calculated volume, Å³ per cell: 134
Magnetic moment, μB per formula unit: 0.8
Energy relative to the elements, kJ/mol of formula units: 998
Symmetry: P4/mmm (123)

a b c (Å): 4.5290 5.4351 5.4351
angles (deg): 90.00 90.00 90.00
With the nearest neighbours (Å) after each atom.
Element x y z (fractional)
Sr: 0.0000 0.0000 0.0000  2 Co 2.26
Be: 0.5000 0.5000 0.5000  8 Ge 3.54, 4 Co 3.84
Ge: 0.0000 0.5000 0.0000  2 Sr 2.72
Ge: 0.0000 0.0000 0.5000  2 Sr 2.72
Co: 0.5000 0.0000 0.0000  2 Sr 2.26